P) Tb12Dy6Tl: optimized geometry, PBE.

Values from the calculation:
The density of states at the Fermi level comes out at 1.313 states/eV/atom. Its calculated volume is 31.221 Å³/atom.

a b c (Å): 9.3497 9.3497 9.3497
angles (deg): 110.91 110.91 110.91
Fractional coordinates of all 19 atoms:
Tb 0.0538 0.3723 0.5854
Tb 0.1031 0.7354 0.1551
Tb 0.1551 0.1031 0.7354
Tb 0.2646 0.8449 0.8969
Tb 0.3723 0.5854 0.0538
Tb 0.4146 0.9462 0.6277
Tb 0.5854 0.0538 0.3723
Tb 0.6277 0.4146 0.9462
Tb 0.7354 0.1551 0.1031
Tb 0.8449 0.8969 0.2646
Tb 0.8969 0.2646 0.8449
Tb 0.9462 0.6277 0.4146
Dy 0.2124 0.4729 0.3154
Dy 0.3154 0.2124 0.4729
Dy 0.4729 0.3154 0.2124
Dy 0.5271 0.6846 0.7876
Dy 0.6846 0.7876 0.5271
Dy 0.7876 0.5271 0.6846
Tl 0.0000 0.0000 0.0000

Q) Tb12Dy6Tl: optimized geometry, PBE.

Values from the calculation:
The density of states at the Fermi level comes out at 1.472 states/eV/atom. Its calculated volume is 31.944 Å³/atom.

a b c (Å): 8.4688 8.4688 8.4688
angles (deg): 88.72 88.72 88.72
Fractional coordinates of all 19 atoms:
Tb 0.0394 0.2803 0.9329
Tb 0.0671 0.9606 0.7197
Tb 0.1377 0.3152 0.4871
Tb 0.2803 0.9329 0.0394
Tb 0.3152 0.4871 0.1377
Tb 0.4871 0.1377 0.3152
Tb 0.5129 0.8623 0.6848
Tb 0.6848 0.5129 0.8623
Tb 0.7197 0.0671 0.9606
Tb 0.8623 0.6848 0.5129
Tb 0.9329 0.0394 0.2803
Tb 0.9606 0.7197 0.0671
Dy 0.2045 0.5961 0.7579
Dy 0.2421 0.7955 0.4039
Dy 0.4039 0.2421 0.7955
Dy 0.5961 0.7579 0.2045
Dy 0.7579 0.2045 0.5961
Dy 0.7955 0.4039 0.2421
Tl 0.5000 0.5000 0.5000

Most stable to least stable, the ends of the list are P) and Q).

P) TbDyYTl: optimized geometry, PBE.

Values from the calculation:
The density of states at the Fermi level comes out at 1.295 states/eV/atom. Its calculated volume is 29.065 Å³/atom.

a b c (Å): 5.4783 5.4783 5.4783
angles (deg): 60.00 60.00 60.00
Fractional coordinates of all 4 atoms:
Tb 0.0000 0.0000 0.0000
Dy 0.7500 0.7500 0.7500
Y 0.5000 0.5000 0.5000
Tl 0.2500 0.2500 0.2500

Q) TbDyYTl: optimized geometry, PBE.

Values from the calculation:
The density of states at the Fermi level comes out at 1.139 states/eV/atom. Its calculated volume is 28.746 Å³/atom.

a b c (Å): 4.8442 4.8490 4.8952
angles (deg): 90.00 90.00 90.00
Fractional coordinates of all 4 atoms:
Tb 0.0000 0.0000 0.0000
Dy 0.5000 0.5000 0.0000
Y 0.5000 0.0000 0.5000
Tl 0.0000 0.5000 0.5000

Most stable to least stable, the ends of the list are Q) and P).